(1)
First-principles (PBE) data for TbPm3DyHo after structural relaxation, as listed in Alexandria via LeMat-Bulk.

```
12
Lattice="-2.0007 -3.7313 -2.8362 -1.9019 -4.0537 6.6747 -7.4248 6.8372 -3.7574" Properties=species:S:1:pos:R:3 pbc="T T T"
Pm -6.2321 -0.6072 -1.6723
Pm -7.5635 1.9544 0.4751
Pm -7.8501 5.1059 -3.4689
Pm -5.0953 -0.3407 1.7534
Pm -3.4773 -6.0538 3.5500
Pm -3.7639 -2.9022 -0.3940
Ho -5.9585 -3.7808 2.3099
Ho -5.3689 2.8329 -2.2288
Tb -2.9082 0.5716 -0.9896
Tb -8.4192 -1.5195 1.0707
Dy -2.6254 -2.6161 3.0047
Dy -8.7020 1.6683 -2.9236
```

Summary:
E_tot in eV for the cell shown: -55.9
DOS(E_F) in states/eV/f.u.: 8.355

---

(2)
First-principles (PBE) data for Tb2PmDy3Ho6 after structural relaxation, as listed in Alexandria via LeMat-Bulk.

```
12
Lattice="6.1366 0.0018 0.0118 -3.0653 5.3162 0.0118 -1.0396 -1.8001 11.5500" Properties=species:S:1:pos:R:3 pbc="T T T"
Dy 4.0817 -0.0117 5.7868
Dy 1.0158 1.7589 5.7868
Dy -2.0500 3.5295 5.7868
Tb 0.0019 3.5448 0.0118
Tb 3.0694 1.7732 0.0118
Ho -0.0144 3.5200 8.6643
Ho 2.0461 -0.0022 2.9093
Ho -0.0129 -0.0223 8.6536
Ho 2.0446 3.5401 2.9200
Ho -1.0244 1.7711 2.9093
Ho 3.0561 1.7467 8.6643
Pm 0.0000 0.0000 0.0000
```

Summary:
E_tot in eV for the cell shown: -55.1
DOS(E_F) in states/eV/f.u.: 15.386